VASP calculation (PBEsol) on a geometry-optimized Zr3TcTe structure.

Uncorrected energy (hartree per atom): -0.3018

Lattice parameters (Å, degrees): 4.9378 4.9378 4.9378 90.00 90.00 90.00
Closest atoms and distances in Å follow each position.
Fractional coordinates of all 5 atoms:
Zr 0.0000 0.0000 0.5000  2 Tc 2.47
Zr 0.0000 0.5000 0.0000  2 Tc 2.47
Zr 0.5000 0.0000 0.0000  2 Tc 2.47
Tc 0.0000 0.0000 0.0000  6 Zr 2.47
Te 0.5000 0.5000 0.5000  12 Zr 3.49

VASP calculation (PBEsol) on a geometry-optimized ZrTcTe2 structure.

Uncorrected energy (hartree per atom): -0.2635

Lattice parameters (Å, degrees): 3.2517 3.2517 8.4838 90.00 90.00 90.00
Closest atoms and distances in Å follow each position.
Fractional coordinates of all 4 atoms:
Zr 0.0000 0.0000 0.0000  4 Tc 2.91, 5 Te 3.06-3.24, 4 Zr 3.25
Tc 0.5000 0.5000 0.2112  4 Te 2.72, 4 Zr 2.91
Te 0.0000 0.0000 0.3817  4 Tc 2.72
Te 0.5000 0.5000 0.7618  4 Zr 3.06, 4 Te 3.25

VASP calculation (PBEsol) on a geometry-optimized Zr3TcTe structure.

Uncorrected energy (hartree per atom): -0.2649

Lattice parameters (Å, degrees): 5.1202 5.1202 5.1202 90.00 90.00 90.00
Closest atoms and distances in Å follow each position.
Fractional coordinates of all 5 atoms:
Zr 0.0000 0.0000 0.5000  2 Te 2.56
Zr 0.0000 0.5000 0.0000  2 Te 2.56
Zr 0.5000 0.0000 0.0000  2 Te 2.56
Tc 0.5000 0.5000 0.5000  12 Zr 3.62
Te 0.0000 0.0000 0.0000  6 Zr 2.56

VASP calculation (PBEsol) on a geometry-optimized ZrTc2Te structure.

Uncorrected energy (hartree per atom): -0.3083

Lattice parameters (Å, degrees): 3.0362 3.0362 8.4885 90.00 90.00 113.78
Closest atoms and distances in Å follow each position.
Fractional coordinates of all 4 atoms:
Zr 0.0000 0.0000 0.0000  4 Tc 2.67
Tc 0.5000 0.5000 0.2465  2 Zr 2.67, 2 Te 2.72
Tc 0.5000 0.5000 0.7535  2 Zr 2.67, 2 Te 2.72
Te 0.0000 0.0000 0.5000  4 Tc 2.72, 4 Te 3.04

VASP calculation (PBEsol) on a geometry-optimized TiTc structure.

Formation enthalpy at 0 K (eV per atom): -0.47
Uncorrected energy (hartree per atom): -0.3773

Lattice parameters (Å, degrees): 3.0660 3.0660 3.0660 90.00 90.00 90.00
Closest atoms and distances in Å follow each position.
Fractional coordinates of all 2 atoms:
Ti 0.0000 0.0000 0.0000  8 Tc 2.66
Tc 0.5000 0.5000 0.5000  8 Ti 2.66

VASP calculation (PBEsol) on a geometry-optimized TiVTc2 structure.

Formation enthalpy at 0 K (eV per atom): -0.43
Uncorrected energy (hartree per atom): -0.3880

Lattice parameters (Å, degrees): 4.2757 4.2757 4.2757 60.00 60.00 60.00
Closest atoms and distances in Å follow each position.
Fractional coordinates of all 4 atoms:
Ti 0.0000 0.0000 0.0000  8 Tc 2.62
V 0.5000 0.5000 0.5000  8 Tc 2.62
Tc 0.2500 0.2500 0.2500  4 V 2.62, 4 Ti 2.62
Tc 0.7500 0.7500 0.7500  4 V 2.62, 4 Ti 2.62

VASP calculation (PBEsol) on a geometry-optimized Ti2Zn2Tc structure.

Formation enthalpy at 0 K (eV per atom): 0.12
Uncorrected energy (hartree per atom): -0.2238

Lattice parameters (Å, degrees): 7.9117 7.9117 7.9117 156.34 156.34 33.71
Closest atoms and distances in Å follow each position.
Fractional coordinates of all 5 atoms:
Ti 0.0907 0.0907 0.0000  4 Tc 2.67, 1 Ti 2.75, 4 Zn 2.91
Ti 0.9093 0.9093 0.0000  4 Tc 2.67, 1 Ti 2.75, 4 Zn 2.91
Zn 0.2500 0.7500 0.5000  4 Zn 2.29
Zn 0.7500 0.2500 0.5000  4 Zn 2.29
Tc 0.5000 0.5000 0.0000  8 Ti 2.67

VASP calculation (PBEsol) on a geometry-optimized TlTc2W structure.

Formation enthalpy at 0 K (eV per atom): 0.49
Uncorrected energy (hartree per atom): -0.3400

Lattice parameters (Å, degrees): 2.8675 4.0266 5.6462 90.00 90.26 90.00
Closest atoms and distances in Å follow each position.
Fractional coordinates of all 4 atoms:
Tl 0.0000 0.0000 0.0000  6 Tc 2.79-2.94, 2 Tl 2.87, 4 W 2.97-2.99
Tc 0.5013 0.5000 0.7199  1 W 2.39
Tc 0.9811 0.0000 0.5058  4 W 2.70-2.79, 6 Tc 2.72-2.87, 2 Tl 2.79-2.86
W 0.5094 0.5000 0.2959  1 Tc 2.39

VASP calculation (PBEsol) on a geometry-optimized TlTc2W structure.

Formation enthalpy at 0 K (eV per atom): 0.45
Uncorrected energy (hartree per atom): -0.3414

Lattice parameters (Å, degrees): 2.8489 2.8489 8.0152 90.00 90.00 90.00
Closest atoms and distances in Å follow each position.
Fractional coordinates of all 4 atoms:
Tl 0.0000 0.0000 0.0000  4 Tl 2.85, 4 Tc 2.97, 4 W 3.06
Tc 0.0000 0.0000 0.5217  8 Tc 2.60-2.85, 4 W 2.75
Tc 0.5000 0.5000 0.7269  8 Tc 2.60-2.85
W 0.5000 0.5000 0.2878  4 Tc 2.75, 4 W 2.85, 4 Tl 3.06

VASP calculation (PBEsol) on a geometry-optimized YTl2Tc2 structure.

Formation enthalpy at 0 K (eV per atom): 0.32
Uncorrected energy (hartree per atom): -0.2428

Lattice parameters (Å, degrees): 8.9625 8.9625 8.9625 157.26 157.26 32.37
Closest atoms and distances in Å follow each position.
Fractional coordinates of all 5 atoms:
Y 0.0000 0.0000 0.0000  8 Tl 3.21, 4 Y 3.53
Tl 0.3833 0.3833 0.0000  4 Tc 2.90, 4 Y 3.21
Tl 0.6167 0.6167 0.0000  4 Tc 2.90, 4 Y 3.21
Tc 0.2500 0.7500 0.5000  4 Tc 2.50
Tc 0.7500 0.2500 0.5000  4 Tc 2.50

VASP calculation (PBEsol) on a geometry-optimized Y2Tl2Tc structure.

Formation enthalpy at 0 K (eV per atom): 0.78
Uncorrected energy (hartree per atom): -0.1929

Lattice parameters (Å, degrees): 7.6795 7.6795 7.6795 148.56 148.56 45.06
Closest atoms and distances in Å follow each position.
Fractional coordinates of all 5 atoms:
Y 0.2500 0.7500 0.5000  4 Y 2.94, 4 Tl 3.05
Y 0.7500 0.2500 0.5000  4 Y 2.94, 4 Tl 3.05
Tl 0.0932 0.0932 0.0000  1 Tl 2.64
Tl 0.9068 0.9068 0.0000  1 Tl 2.64
Tc 0.5000 0.5000 0.0000  8 Tl 3.23

VASP calculation (PBEsol) on a geometry-optimized Tl2ZnTc structure.

Formation enthalpy at 0 K (eV per atom): 0.49
Uncorrected energy (hartree per atom): -0.1484

Lattice parameters (Å, degrees): 5.5566 5.5566 5.5566 142.92 133.64 60.79
Closest atoms and distances in Å follow each position.
Fractional coordinates of all 4 atoms:
Tl 0.0000 0.0000 0.0000  4 Zn 2.84, 2 Tc 3.04, 4 Tl 3.09-3.15
Tl 0.7280 0.2280 0.5000  4 Tc 2.83, 4 Tl 3.09-3.15, 4 Zn 3.11-3.13
Zn 0.4588 0.4588 0.0000  2 Tc 2.62, 4 Tl 2.84
Tc 0.2575 0.7575 0.5000  2 Zn 2.62, 4 Tl 2.83

Number 1: calculated density 6.89 g/cm3, Fermi-level density of states 5.7 states/eV/cell. Number 2: calculated density 8.23 g/cm3, Fermi-level density of states 2.9 states/eV/cell. Number 3: calculated density 6.18 g/cm3, Fermi-level density of states 4.4 states/eV/cell. Number 4: calculated density 9.62 g/cm3, Fermi-level density of states 4.7 states/eV/cell. Number 5: calculated density 8.40 g/cm3, Fermi-level density of states 1.7 states/eV/cell. Number 6: calculated density 8.86 g/cm3, Fermi-level density of states 2.9 states/eV/cell. Number 7: calculated density 6.76 g/cm3, Fermi-level density of states 4.8 states/eV/cell. Number 8: calculated density 14.88 g/cm3, Fermi-level density of states 2.8 states/eV/cell. Number 9: calculated density 14.91 g/cm3, Fermi-level density of states 2.1 states/eV/cell. Number 10: calculated density 10.72 g/cm3, Fermi-level density of states 4.1 states/eV/cell. Number 11: calculated density 9.25 g/cm3, Fermi-level density of states 4.4 states/eV/cell. Number 12: calculated density 12.83 g/cm3, Fermi-level density of states 2.1 states/eV/cell.